TiV6Mo3 after structural relaxation. Source: Alexandria, functional PBE-GGA.

Results
M_tot ... 0.0 μB per cell
SG ... No. 63
Calculated total energy ... -9.32 eV/atom
Relative energy among the computed polymorphs ... 0.253 eV/atom
DFT formation energy ... 0.188 eV per atom

Cell lengths 5.0720, 8.3030, 8.3030 Å; angles 119.72, 90.00, 90.00 degrees
Last column: nearest neighbours and their distance in Å.
Atoms (fractional coordinates):
Mo 0.0736 0.3760 0.6240  2 Mo 2.75, 6 V 2.86-3.04, 1 Ti 2.97
Mo 0.5736 0.6240 0.3760  2 Mo 2.75, 6 V 2.86-3.04, 1 Ti 2.97
Mo 0.0735 0.7185 0.9402  4 V 2.46-2.48, 1 Mo 2.75
Mo 0.5735 0.9402 0.7185  4 V 2.46-2.48, 1 Mo 2.75
Mo 0.0735 0.0598 0.2815  4 V 2.46-2.48, 1 Mo 2.75
Mo 0.5735 0.2815 0.0598  4 V 2.46-2.48, 1 Mo 2.75
V 0.8235 0.0000 0.0000  4 Mo 2.48, 2 V 2.54, 2 Ti 2.74
V 0.5735 0.2838 0.7162  6 V 2.49-2.66
V 0.0735 0.7521 0.6204  1 V 2.66, 3 Mo 2.80-2.88
V 0.3235 0.5000 0.0000  2 Mo 2.46, 4 V 2.49-2.54, 2 Ti 2.70
V 0.0735 0.3796 0.2479  1 V 2.66, 3 Mo 2.80-2.88
V 0.0735 0.7162 0.2838  6 V 2.49-2.66
V 0.3235 0.0000 0.5000  2 Mo 2.46, 4 V 2.49-2.54, 2 Ti 2.70
V 0.5735 0.2479 0.3796  1 V 2.66, 3 Mo 2.80-2.88
V 0.8235 0.0000 0.5000  2 Mo 2.46, 4 V 2.49-2.54, 2 Ti 2.70
V 0.5735 0.6204 0.7521  1 V 2.66, 3 Mo 2.80-2.88
V 0.8235 0.5000 0.0000  2 Mo 2.46, 4 V 2.49-2.54, 2 Ti 2.70
V 0.3235 0.0000 0.0000  4 Mo 2.48, 2 V 2.54, 2 Ti 2.74
Ti 0.5735 0.8306 0.1694  10 V 2.70-3.02, 1 Mo 2.97
Ti 0.0735 0.1694 0.8306  10 V 2.70-3.02, 1 Mo 2.97